(1)
PBE Rb2NaPuCl8, relaxed; DFT total energy = -4.32 eV per atom
1.0
6.791 0.000 0.000
-0.597 7.015 0.000
-0.006 -0.005 9.640
Rb Na Pu Cl
2 1 1 8
Direct
0.001 0.001 0.239
0.999 0.999 0.761
0.500 0.500 0.000
0.500 0.500 0.500
0.277 0.182 0.999
0.278 0.614 0.310
0.280 0.615 0.690
0.298 0.177 0.501
0.702 0.823 0.499
0.720 0.385 0.310
0.722 0.386 0.690
0.723 0.818 0.001

=====

(2)
PBE RbNa2PuCl8, relaxed; DFT total energy = -4.32 eV per atom
1.0
6.082 0.000 0.000
-0.274 6.568 0.000
-0.019 -0.005 9.390
Rb Na Pu Cl
1 2 1 8
Direct
0.000 0.000 0.000
0.499 0.500 0.743
0.501 0.500 0.257
0.000 0.000 0.500
0.238 0.851 0.302
0.239 0.852 0.699
0.250 0.329 0.500
0.251 0.480 0.000
0.749 0.520 0.000
0.750 0.671 0.500
0.761 0.148 0.301
0.762 0.149 0.698

=====

(3)
PBE Rb2NaPuCl5, relaxed; DFT total energy = -4.80 eV per atom
1.0
2.183 -9.357 0.000
2.183 9.357 0.000
0.000 0.000 14.123
Rb Na Pu Cl
4 2 2 10
Direct
0.103 0.897 0.500
0.131 0.869 0.106
0.869 0.131 0.606
0.897 0.103 0.000
0.483 0.517 0.279
0.517 0.483 0.779
0.215 0.785 0.822
0.785 0.215 0.322
0.066 0.934 0.866
0.277 0.723 0.457
0.303 0.697 0.193
0.367 0.633 0.812
0.498 0.502 0.595
0.502 0.498 0.095
0.633 0.367 0.312
0.697 0.303 0.693
0.723 0.277 0.957
0.934 0.066 0.366

=====

(4)
PBE Na2PuS2Cl2, relaxed; DFT total energy = -5.60 eV per atom
1.0
5.216 0.000 0.000
0.000 5.216 0.000
0.000 0.000 14.311
Na Pu S Cl
4 2 4 4
Direct
0.000 0.000 0.125
0.000 0.000 0.875
0.500 0.500 0.375
0.500 0.500 0.625
0.000 0.000 0.500
0.500 0.500 0.000
0.000 0.500 0.000
0.000 0.500 0.500
0.500 0.000 0.000
0.500 0.000 0.500
0.000 0.000 0.314
0.000 0.000 0.686
0.500 0.500 0.186
0.500 0.500 0.814

=====

(5)
PBE NaPuScCl6, relaxed; DFT total energy = -5.62 eV per atom
1.0
6.831 0.000 0.000
-3.415 5.915 0.000
0.000 0.000 12.515
Na Pu Sc Cl
2 2 2 12
Direct
0.000 0.000 0.000
0.000 0.000 0.500
0.333 0.667 0.250
0.667 0.333 0.750
0.333 0.667 0.750
0.667 0.333 0.250
0.029 0.363 0.632
0.029 0.666 0.868
0.334 0.363 0.868
0.334 0.971 0.632
0.363 0.029 0.132
0.363 0.334 0.368
0.637 0.666 0.632
0.637 0.971 0.868
0.666 0.029 0.368
0.666 0.637 0.132
0.971 0.334 0.132
0.971 0.637 0.368

=====

(6)
PBE NaSmPuCl6, relaxed; DFT total energy = -5.48 eV per atom
1.0
7.084 0.000 0.000
-3.542 6.135 0.000
0.000 0.000 12.612
Na Sm Pu Cl
2 2 2 12
Direct
0.000 0.000 0.000
0.000 0.000 0.500
0.333 0.667 0.250
0.667 0.333 0.750
0.333 0.667 0.750
0.667 0.333 0.250
0.010 0.349 0.129
0.010 0.661 0.371
0.339 0.349 0.371
0.339 0.990 0.129
0.349 0.010 0.629
0.349 0.339 0.871
0.651 0.661 0.129
0.651 0.990 0.371
0.661 0.010 0.871
0.661 0.651 0.629
0.990 0.339 0.629
0.990 0.651 0.871

=====

(7)
PBE NaPuSnCl6, relaxed; DFT total energy = -4.98 eV per atom
1.0
7.095 0.000 0.000
-3.547 6.144 0.000
0.000 0.000 12.332
Na Pu Sn Cl
2 2 2 12
Direct
0.333 0.667 0.250
0.667 0.333 0.750
0.333 0.667 0.750
0.667 0.333 0.250
0.000 0.000 0.000
0.000 0.000 0.500
0.012 0.345 0.628
0.012 0.666 0.872
0.334 0.345 0.872
0.334 0.988 0.628
0.345 0.012 0.128
0.345 0.334 0.372
0.655 0.666 0.628
0.655 0.988 0.872
0.666 0.012 0.372
0.666 0.655 0.128
0.988 0.334 0.128
0.988 0.655 0.372

=====

(8)
PBE Na2PuSnCl8, relaxed; DFT total energy = -4.52 eV per atom
1.0
6.448 0.000 0.000
0.000 8.544 0.000
-0.397 0.000 6.581
Na Pu Sn Cl
2 1 1 8
Direct
0.000 0.244 0.000
0.000 0.756 0.000
0.500 0.500 0.500
0.500 0.000 0.500
0.214 0.000 0.184
0.224 0.500 0.193
0.299 0.268 0.668
0.299 0.732 0.668
0.701 0.268 0.332
0.701 0.732 0.332
0.776 0.500 0.807
0.786 0.000 0.816

=====

Number 1: magnetization 3.55 μB/cell, uncorrected formation energy -1.619 eV/atom. Number 2: magnetization 4.19 μB/cell, uncorrected formation energy -1.595 eV/atom. Number 3: magnetization 12.00 μB/cell, uncorrected formation energy -1.825 eV/atom. Number 4: magnetization 8.00 μB/cell, uncorrected formation energy -1.472 eV/atom. Number 5: magnetization 12.00 μB/cell, uncorrected formation energy -1.946 eV/atom. Number 6: magnetization 12.00 μB/cell, uncorrected formation energy -1.990 eV/atom. Number 7: magnetization 10.00 μB/cell, uncorrected formation energy -1.567 eV/atom. Number 8: magnetization 4.05 μB/cell, uncorrected formation energy -1.540 eV/atom.